(1)
A relaxed structure of Tl2AgIrBr6. Source: OQMD via LeMat-Bulk, functional PBE.

Computed properties:
The calculation puts the magnetic moment at 0.000 Bohr magnetons per cell. For the theoretical density, the calculation gives 6.63 g/cm3. Its space-group type is No. 225. For the uncorrected energy, the calculation gives -3.087 eV/atom.

Geometry as POSCAR:
```
Tl2AgIrBr6
1.0
5.977 -4.486 -0.568
4.865 -0.498 5.679
0.374 -6.279 4.075
Br Tl Ir Ag
6 2 1 1
direct
0.737 0.263 0.737
0.263 0.263 0.737
0.737 0.263 0.263
0.737 0.737 0.263
0.263 0.737 0.737
0.263 0.737 0.263
0.250 0.250 0.250
0.750 0.750 0.750
0.500 0.500 0.500
0.000 0.000 0.000
```

***

(2)
A relaxed structure of GdY2Sn4Pb3. Source: OQMD via LeMat-Bulk, functional PBE.

Computed properties:
The calculation puts the magnetic moment at 0.006 Bohr magnetons per cell. For the theoretical density, the calculation gives 8.80 g/cm3. Its space-group type is No. 65. The energy above the most stable polymorph in this dataset is 0.0128 eV per atom.

Geometry as POSCAR:
```
GdY2Sn4Pb3
1.0
2.243 -13.380 0.000
2.243 13.380 0.000
0.000 0.000 4.500
Sn Y Pb Gd
4 2 3 1
direct
0.097 0.903 0.500
0.903 0.097 0.500
0.597 0.403 0.000
0.403 0.597 0.000
0.188 0.812 0.000
0.812 0.188 0.000
0.291 0.709 0.500
0.709 0.291 0.500
0.000 0.000 0.000
0.500 0.500 0.500
```

***

(3)
A relaxed structure of ScPaO3. Source: OQMD via LeMat-Bulk, functional PBE.

Computed properties:
The calculation puts the magnetic moment at 1.851 Bohr magnetons per cell. For the theoretical density, the calculation gives 6.43 g/cm3. Its space-group type is No. 221. For the uncorrected energy, the calculation gives -8.098 eV/atom.

Geometry as POSCAR:
```
ScPaO3
1.0
4.373 0.000 0.000
0.000 4.373 0.000
0.000 0.000 4.373
Sc Pa O
1 1 3
direct
0.000 0.000 0.000
0.500 0.500 0.500
0.500 0.000 0.500
0.500 0.500 0.000
0.000 0.500 0.500
```

***

(4)
A relaxed structure of NbCuTc. Source: OQMD via LeMat-Bulk, functional PBE.

Computed properties:
The formation energy comes out at 0.814 eV per atom. The calculation puts the magnetic moment at 0.001 Bohr magnetons per cell. For the theoretical density, the calculation gives 7.86 g/cm3. Its space-group type is No. 216. The energy above the most stable polymorph in this dataset is 0.1714 eV per atom.

Geometry as POSCAR:
```
NbCuTc
1.0
2.118 1.223 3.459
-2.118 1.223 3.459
0.000 -2.446 3.459
Tc Nb Cu
1 1 1
direct
0.750 0.750 0.750
0.000 0.000 0.000
0.250 0.250 0.250
```

***

(5)
A relaxed structure of Al2CoIr. Source: OQMD via LeMat-Bulk, functional PBE.

Computed properties:
The calculation puts the magnetic moment at 0.071 Bohr magnetons per cell. For the theoretical density, the calculation gives 9.90 g/cm3. Its space-group type is No. 225. The energy above the most stable polymorph in this dataset is 0.0000 eV per atom.

Geometry as POSCAR:
```
Al2CoIr
1.0
5.889 0.000 0.000
0.000 4.169 0.000
0.000 0.000 8.335
Ir Al Co
4 8 4
direct
0.250 0.250 0.125
0.250 0.250 0.625
0.750 0.750 0.375
0.750 0.750 0.875
0.000 0.750 0.625
0.000 0.750 0.125
0.500 0.750 0.625
0.500 0.250 0.375
0.500 0.250 0.875
0.500 0.750 0.125
0.000 0.250 0.375
0.000 0.250 0.875
0.750 0.250 0.125
0.250 0.750 0.875
0.250 0.750 0.375
0.750 0.250 0.625
```

***

(6)
A relaxed structure of HfInPb. Source: OQMD via LeMat-Bulk, functional PBE.

Computed properties:
The calculation puts the magnetic moment at 0.002 Bohr magnetons per cell. For the theoretical density, the calculation gives 9.60 g/cm3. Its space-group type is No. 216. The energy above the most stable polymorph in this dataset is 0.2516 eV per atom.

Geometry as POSCAR:
```
HfInPb
1.0
0.000 3.511 3.511
3.511 0.000 3.511
3.511 3.511 0.000
Hf In Pb
1 1 1
direct
0.250 0.250 0.250
0.000 0.000 0.000
0.750 0.750 0.750
```

***

(7)
A relaxed structure of Dy2Er2Lu3Te2Pd2. Source: OQMD via LeMat-Bulk, functional PBE.

Computed properties:
The calculation puts the magnetic moment at 0.000 Bohr magnetons per cell. For the theoretical density, the calculation gives 9.48 g/cm3. Its space-group type is No. 44. The energy above the most stable polymorph in this dataset is 0.0164 eV per atom.

Geometry as POSCAR:
```
Dy2Er2Lu3Te2Pd2
1.0
-1.951 7.750 4.787
1.951 -7.750 4.787
1.951 7.750 -4.787
Lu Dy Er Pd Te
3 2 2 2 2
direct
0.213 0.583 0.631
0.499 0.999 0.500
0.952 0.583 0.369
0.555 0.373 0.183
0.190 0.373 0.817
0.591 0.733 0.857
0.876 0.733 0.143
0.332 0.069 0.262
0.807 0.069 0.738
0.231 0.231 0.000
0.840 0.340 0.500
```

***

(8)
A relaxed structure of Sm4InSi4Ni2. Source: OQMD via LeMat-Bulk, functional PBE.

Computed properties:
The calculation puts the magnetic moment at 0.004 Bohr magnetons per cell. For the theoretical density, the calculation gives 7.11 g/cm3. Its space-group type is No. 12. For the uncorrected energy, the calculation gives -5.703 eV/atom.

Geometry as POSCAR:
```
Sm4InSi4Ni2
1.0
7.781 -2.118 0.000
7.781 2.118 0.000
-2.263 0.000 6.700
Sm Ni In Si
4 2 1 4
direct
0.656 0.656 0.939
0.344 0.344 0.061
0.411 0.411 0.617
0.589 0.589 0.383
0.787 0.787 0.357
0.213 0.213 0.643
0.000 0.000 0.000
0.212 0.212 0.292
0.064 0.064 0.652
0.788 0.788 0.708
0.936 0.936 0.348
```